5
Lattice="-2.8378 1.3425 -4.1645 -4.3427 -0.2572 2.8763 0.5003 4.7058 1.1761" Properties=species:S:1:pos:R:3 comment="BaCoSeBr2 PBE optimized geometry" spacegroup="P4/mmm (123)" dos_at_fermi_per_ev_fu=2.68 final_energy_ev_per_cell=-20.82 polymorph_energy_kj_per_mol_atoms=0.00 pbc="T T T"
Co 0.0000 0.0000 0.0000
Se 0.2501 2.3529 0.5880
Ba -3.3401 2.8956 -0.0560
Br -2.1713 -0.1286 1.4382
Br -1.4189 0.6712 -2.0822